No. 1
# CuAg4TeO6 | Alexandria | SCAN | PBEsol geometry
# - Volume: 12.7 Å³ per atom
# - Energy relative to the elements, uncorrected: -0.593 eV per atom
# - Total magnetization: 0.081 μB per atom
# - Crystal system: monoclinic
data_CuAg4TeO6
_symmetry_space_group_name_H-M 'C 1 2/c 1'
_symmetry_Int_Tables_number 15
_cell_length_a 11.1811
_cell_length_b 9.6983
_cell_length_c 5.7072
_cell_angle_alpha 90.00
_cell_angle_beta 100.00
_cell_angle_gamma 90.00
loop_
_symmetry_equiv_pos_as_xyz
'x,y,z'
'-x,-y,-z'
'-x,y,-z+1/2'
'x,-y,z+1/2'
'x+1/2,y+1/2,z'
'-x+1/2,-y+1/2,-z'
'-x+1/2,y+1/2,-z+1/2'
'x+1/2,-y+1/2,z+1/2'
loop_
_atom_site_label
_atom_site_type_symbol
_atom_site_fract_x
_atom_site_fract_y
_atom_site_fract_z
Cu1 Cu 0.0000 0.0842 0.2500
Ag1 Ag 0.0000 0.4309 0.2500
Ag2 Ag 0.2308 0.4175 0.0436
Ag3 Ag 0.2500 0.2500 0.5000
Te1 Te 0.0000 0.2217 0.7500
O1 O 0.0778 0.2252 0.0865
O2 O 0.1043 0.0682 0.6754
O3 O 0.1183 0.3601 0.6875

***

No. 2
# CuAgOs | Alexandria | SCAN | PBEsol geometry
# - Volume: 14.0 Å³ per atom
# - Total magnetization: 0.002 μB per atom
# - Crystal system: tetragonal
data_CuAgOs
_symmetry_space_group_name_H-M 'I 4 m m'
_symmetry_Int_Tables_number 107
_symmetry_space_group_name_Hall 'I 4 -2'
_cell_length_a 2.6297
_cell_length_b 2.6297
_cell_length_c 12.1328
_cell_angle_alpha 90.00
_cell_angle_beta 90.00
_cell_angle_gamma 90.00
loop_
_atom_site_label
_atom_site_type_symbol
_atom_site_fract_x
_atom_site_fract_y
_atom_site_fract_z
Cu1 Cu 0.0000 0.0000 0.0000
Ag1 Ag 0.0000 0.0000 0.3343
Os1 Os 0.0000 0.0000 0.6524

***

No. 3
# Cu2AgOs | Alexandria | SCAN | PBEsol geometry
# - Volume: 13.4 Å³ per atom
# - Total magnetization: 0.000 μB per atom
# - Crystal system: orthorhombic
# - E above lowest polymorph: 0.101 eV per atom
data_Cu2AgOs
_symmetry_space_group_name_H-M 'I m m 2'
_symmetry_Int_Tables_number 44
_cell_length_a 2.5818
_cell_length_b 4.5207
_cell_length_c 9.1634
_cell_angle_alpha 90.00
_cell_angle_beta 90.00
_cell_angle_gamma 90.00
loop_
_symmetry_equiv_pos_as_xyz
'x,y,z'
'-x,-y,z'
'-x,y,z'
'x,-y,z'
'x+1/2,y+1/2,z+1/2'
'-x+1/2,-y+1/2,z+1/2'
'-x+1/2,y+1/2,z+1/2'
'x+1/2,-y+1/2,z+1/2'
loop_
_atom_site_label
_atom_site_type_symbol
_atom_site_fract_x
_atom_site_fract_y
_atom_site_fract_z
Cu1 Cu 0.0000 0.0000 0.0000
Cu2 Cu 0.0000 0.5000 0.2716
Ag1 Ag 0.0000 0.5000 0.7533
Os1 Os 0.0000 0.0000 0.5272

***

| no. | uncorrected energy (eV/cell) |
| --- | --- |
| 1 | -889.693 |
| 2 | -233.714 |
| 3 | -263.741 |